A plane-wave DFT calculation with PBE was carried out for a relaxed structure of Sm2YScS4.

POSCAR file:
```
Sm2YScS4
1.0
3.868 0.000 0.000
0.000 6.742 0.126
0.000 -2.348 6.450
S Sm Sc Y
4 2 1 1
Direct
0.000 0.753 0.235
0.000 0.247 0.765
0.500 0.765 0.770
0.500 0.235 0.230
0.000 0.500 0.500
0.500 0.000 0.500
0.000 0.000 0.000
0.500 0.500 0.000
```

Calculated values
ΔE_f (raw): -1.961 eV per atom
N(E_F): 4.59 states/eV/f.u.
SG: No. 10
VASP energy: -6.804 eV per atom

A plane-wave DFT calculation with PBE was carried out for a relaxed structure of Sm3YSc2S6.

POSCAR file:
```
Sm3YSc2S6
1.0
6.708 -0.010 -0.002
-3.361 5.805 -0.002
-1.118 -1.936 6.426
Sm S Sc Y
3 6 2 1
Direct
0.837 0.163 0.500
0.163 0.837 0.500
0.500 0.500 0.500
0.268 0.268 0.773
0.580 0.923 0.769
0.732 0.732 0.227
0.923 0.580 0.769
0.077 0.420 0.231
0.420 0.077 0.231
0.334 0.666 0.000
0.666 0.334 0.000
0.000 0.000 0.000
```

Calculated values
ΔE_f (raw): -1.954 eV per atom
N(E_F): 5.43 states/eV/f.u.
SG: No. 12
VASP energy: -6.791 eV per atom

A plane-wave DFT calculation with PBE was carried out for a relaxed structure of Sm2Y3ScS6.

POSCAR file:
```
Sm2Y3ScS6
1.0
3.908 0.000 0.000
0.000 7.863 0.293
-1.954 -2.253 8.212
S Sc Sm Y
6 1 2 3
Direct
0.336 0.412 0.671
0.003 0.763 0.006
0.661 0.075 0.322
0.997 0.237 0.994
0.339 0.925 0.678
0.664 0.588 0.329
0.500 0.000 0.000
0.833 0.666 0.667
0.167 0.334 0.333
0.831 0.166 0.661
0.169 0.834 0.339
0.500 0.500 0.000
```

Calculated values
ΔE_f (raw): -1.968 eV per atom
N(E_F): 5.62 states/eV/f.u.
SG: No. 12
VASP energy: -6.962 eV per atom

A plane-wave DFT calculation with PBE was carried out for a relaxed structure of Sm2ScZnS5.

POSCAR file:
```
Sm2ScZnS5
1.0
3.805 0.000 0.000
-1.903 8.321 0.000
0.000 0.000 11.655
Sm S Zn Sc
4 10 2 2
Direct
0.884 0.768 0.185
0.866 0.733 0.809
0.134 0.267 0.309
0.116 0.232 0.685
0.288 0.575 0.666
0.049 0.097 0.062
0.356 0.711 0.002
0.504 0.009 0.276
0.688 0.377 0.858
0.712 0.425 0.166
0.496 0.991 0.776
0.951 0.903 0.562
0.312 0.623 0.358
0.644 0.289 0.502
0.449 0.897 0.453
0.551 0.103 0.953
0.798 0.597 0.514
0.202 0.403 0.014
```

Calculated values
ΔE_f (raw): -1.712 eV per atom
N(E_F): 1.20 states/eV/f.u.
SG: No. 36
VASP energy: -5.899 eV per atom

A plane-wave DFT calculation with PBE was carried out for a relaxed structure of ScSnS2.

POSCAR file:
```
ScSnS2
1.0
3.636 0.000 0.000
1.818 3.149 0.000
1.818 1.050 7.711
S Sn Sc
2 1 1
Direct
0.268 0.268 0.195
0.064 0.064 0.809
0.501 0.501 0.496
0.667 0.667 0.000
```

Calculated values
ΔE_f (raw): -1.185 eV per atom
N(E_F): 1.16 states/eV/f.u.
SG: No. 160
VASP energy: -5.832 eV per atom

A plane-wave DFT calculation with PBE was carried out for a relaxed structure of ScSn2S4.

POSCAR file:
```
ScSn2S4
1.0
-2.289 -2.551 1.304
2.677 -2.669 -5.679
9.811 -5.194 7.066
S Sc Sn
8 2 4
Direct
0.500 0.000 0.000
0.982 0.964 0.750
0.790 0.579 0.372
0.210 0.421 0.872
0.018 0.036 0.250
0.210 0.421 0.628
0.790 0.579 0.128
0.500 0.000 0.500
0.379 0.757 0.250
0.621 0.243 0.750
0.869 0.738 0.928
0.869 0.738 0.572
0.131 0.262 0.072
0.131 0.262 0.428
```

Calculated values
ΔE_f (raw): -0.814 eV per atom
N(E_F): 2.96 states/eV/f.u.
SG: No. 63
VASP energy: -5.221 eV per atom

Which formula does entry 3 have?
Sm2Y3ScS6

Which value of ΔE_f (raw) does entry 3 give?
-1.968 eV per atom